1.
ZnAg2PbF8 | PBE | relaxed

Values from the calculation:
- E_tot: -3.85 eV/atom
- E_form (uncorrected): -1.71 eV/atom

Cell lengths 4.9767, 5.2567, 7.3382 Å; angles 85.22, 87.70, 87.22 degrees
Fractional coordinates of all 12 atoms:
Zn: 0.0000 0.0000 0.0000
Ag: 0.4812 0.4845 0.7696
Ag: 0.5188 0.5155 0.2304
Pb: 0.0000 0.0000 0.5000
F: 0.1852 0.7998 0.2250
F: 0.1849 0.8006 0.7882
F: 0.2853 0.2623 0.9856
F: 0.3410 0.3040 0.4613
F: 0.6590 0.6960 0.5387
F: 0.7147 0.7377 0.0144
F: 0.8151 0.1994 0.2118
F: 0.8148 0.2002 0.7750

2.
FeHgPd3 | PBE | relaxed

Values from the calculation:
- Energy above the most stable polymorph in this dataset: 0.00 eV/f.u.
- Energy of formation from the pure elements: 0.5866 eV per atom
- E_tot: -4.28 eV/atom

Cell lengths 4.6492, 4.6492, 4.6492 Å; angles 90.00, 90.00, 90.00 degrees
Fractional coordinates of all 5 atoms:
Fe: 0.0000 0.0000 0.0000
Hg: 0.5000 0.5000 0.5000
Pd: 0.0000 0.0000 0.5000
Pd: 0.0000 0.5000 0.0000
Pd: 0.5000 0.0000 0.0000

3.
Nd6CdOs2 | PBE | relaxed

Values from the calculation:
- Energy above the most stable polymorph in this dataset: 0.82 eV/f.u.
- Energy of formation from the pure elements: -0.0547 eV per atom
- E_tot: -5.83 eV/atom

Cell lengths 7.4647, 7.4647, 10.2526 Å; angles 124.38, 124.38, 35.99 degrees
Fractional coordinates of all 9 atoms:
Nd: 0.0054 0.0054 0.1862
Nd: 0.2694 0.2694 0.8760
Nd: 0.3453 0.3453 0.4738
Nd: 0.6547 0.6547 0.5262
Nd: 0.7306 0.7306 0.1240
Nd: 0.9946 0.9946 0.8138
Cd: 0.0000 0.0000 0.5000
Os: 0.4011 0.4011 0.2360
Os: 0.5989 0.5989 0.7640

Number 1: ρ 5.57 g/cm³. Number 2: ρ 9.51 g/cm³. Number 3: ρ 8.35 g/cm³.